Entry 1:
The following is a GGA-PBE calculation of a relaxed La2BeGe2 crystal, from Alexandria.

Cell and atoms, written as POSCAR:
```
La2BeGe2
1.0
-5.3706 -4.9243 -3.2574
4.8154 -1.1053 -6.2684
1.7660 -3.1963 1.9202
Be La Ge
2 4 4
Direct
0.5000 0.5000 0.0000
0.0000 0.0000 0.0000
0.6338 0.1338 0.0000
0.8662 0.6338 0.0000
0.3662 0.8662 0.0000
0.1338 0.3662 0.0000
0.8253 0.3253 0.5000
0.1747 0.6747 0.5000
0.3253 0.1747 0.5000
0.6747 0.8253 0.5000
```

## Properties
Total DFT energy (no corrections), eV/atom: -4.53
Crystal system: tetragonal
N(E_F), states/eV per cell: 8.470
Calculated formation energy, meV/atom: 34

***

Entry 2:
The following is a GGA-PBE calculation of a relaxed La3Be2Ge3 crystal, from Alexandria.

Cell and atoms, written as POSCAR:
```
La3Be2Ge3
1.0
4.9207 3.4444 0.5543
-5.8739 0.3787 -1.3181
-3.2500 2.2103 15.1183
Be Ge La
4 6 6
Direct
0.1321 0.8679 0.6203
0.1321 0.8679 0.8797
0.8679 0.1321 0.1203
0.8679 0.1321 0.3797
0.2510 0.7490 0.7500
0.5767 0.4233 0.5590
0.4233 0.5767 0.0590
0.4233 0.5767 0.4410
0.5767 0.4233 0.9410
0.7490 0.2510 0.2500
0.8465 0.1535 0.9081
0.4686 0.5314 0.2500
0.1535 0.8465 0.0919
0.8465 0.1535 0.5919
0.1535 0.8465 0.4081
0.5314 0.4686 0.7500
```

## Properties
Total DFT energy (no corrections), eV/atom: -5.11
Crystal system: orthorhombic
N(E_F), states/eV per cell: 7.808
Calculated formation energy, meV/atom: -598

***

Entry 3:
The following is a GGA-PBE calculation of a relaxed La3BeGe3 crystal, from Alexandria.

Cell and atoms, written as POSCAR:
```
La3BeGe3
1.0
3.9854 0.0000 -0.8694
-0.2224 4.3888 -1.0195
0.0410 -0.0499 9.7569
Be Ge La
1 3 3
Direct
0.4321 0.4321 0.8641
0.1421 0.6421 0.2843
0.8691 0.3691 0.7381
0.5548 0.5548 0.1097
0.6837 0.1837 0.3674
0.0003 0.0003 0.0006
0.3179 0.8179 0.6357
```

## Properties
Total DFT energy (no corrections), eV/atom: -5.34
Crystal system: orthorhombic
N(E_F), states/eV per cell: 5.153
Calculated formation energy, meV/atom: -716